(1)
! BeFe2W (GGA-PBE, optimized geometry); values from VASP
! energy relative to the elements = 0.5765 eV/atom
! crystal system = tetragonal
! total DFT energy (no corrections) = -7.82 eV per atom
! total magnetic moment = 0.000 μB per formula unit
! D(E_F) = 0.37 states/eV/atom
&SYSTEM
  ibrav = 0, nat = 8, ntyp = 3
/
ATOMIC_SPECIES
Fe 55.84 Fe.upf
W 183.84 W.upf
Be 9.01 Be.upf
ATOMIC_POSITIONS crystal
Fe 0.375 0.439 0.750
W 0.750 0.250 0.500
W 0.000 0.000 0.000
Fe 0.875 0.811 0.750
Be 0.250 0.750 0.500
Fe 0.189 0.625 0.250
Fe 0.561 0.125 0.250
Be 0.500 0.500 0.000
CELL_PARAMETERS angstrom
6.222 0.000 0.000
0.000 6.222 0.000
3.111 3.111 2.389

(2)
! BeFe2W (GGA-PBE, optimized geometry); values from VASP
! energy relative to the elements = 0.4900 eV/atom
! crystal system = orthorhombic
! total DFT energy (no corrections) = -7.91 eV per atom
! total magnetic moment = 4.453 μB per formula unit
! D(E_F) = 0.75 states/eV/atom
&SYSTEM
  ibrav = 0, nat = 4, ntyp = 3
/
ATOMIC_SPECIES
W 183.84 W.upf
Be 9.01 Be.upf
Fe 55.84 Fe.upf
ATOMIC_POSITIONS crystal
W 0.000 0.500 0.500
Be 0.000 0.000 0.000
Fe 0.000 0.776 0.776
Fe 0.000 0.224 0.224
CELL_PARAMETERS angstrom
4.308 -1.660 -2.571
-1.236 4.448 2.571
-3.049 0.272 4.308